[1]
Below is Na3Sr2TcO6 after structural relaxation, with properties calculated at the PBE level.

abc: 5.978 10.512 5.873
angles: 90.00 109.19 90.00
Space group C2/m (No. 12)
Unique sites:
Na 0.000 0.000 0.000 x2
Na 0.000 0.356 0.000 x4
Sr 0.000 0.169 0.500 x4
Tc 0.000 0.500 0.500 x2
O 0.206 0.363 0.715 x8
O 0.214 0.500 0.296 x4

Uncorrected energy in eV for the cell shown: -141.02
DOS(E_F) in states/eV per cell: 16.011
Formation energy (no corrections) in eV per atom: -1.923

[2]
Below is Na2Sr2TcO6 after structural relaxation, with properties calculated at the PBE level.

abc: 6.125 10.338 5.898
angles: 90.00 104.02 90.00
Space group C2/m (No. 12)
Unique sites:
Na 0.000 0.135 0.000 x4
Sr 0.000 0.338 0.500 x4
Tc 0.000 0.000 0.500 x2
O 0.176 0.137 0.690 x8
O 0.215 0.000 0.298 x4

Uncorrected energy in eV for the cell shown: -135.12
DOS(E_F) in states/eV per cell: 11.144
Formation energy (no corrections) in eV per atom: -1.949

Question: Look up the formation energy (no corrections) of the second one.
Answer: -1.949 eV per atom

Question: Look up the DOS(E_F) of the second one.
Answer: 11.144 states/eV per cell